Crystalline La2TmBi3 at its relaxed geometry. Source: the Alexandria database, functional GGA-PBE. Values from VASP.

Calculated values
offset from the most stable computed form = 0.010 eV per atom
crystal system = tetragonal
Fermi-level density of states = 0.8 states/eV per cell
formation enthalpy at 0 K = -0.9387 eV/atom

Geometry as Quantum ESPRESSO input:
```
&SYSTEM
  ibrav = 0, nat = 6, ntyp = 3
/
ATOMIC_SPECIES
La 138.91 La.upf
Bi 208.98 Bi.upf
Tm 168.93 Tm.upf
ATOMIC_POSITIONS angstrom
La 3.272 3.452 3.992
Bi 2.548 2.690 0.816
La 0.427 0.455 1.928
Bi 3.976 4.197 7.086
Tm 1.835 1.943 8.115
Bi 1.150 1.218 5.104
CELL_PARAMETERS angstrom
4.515 0.000 -1.029
-0.234 4.509 -1.029
-0.026 -0.026 10.309
```